Material: Tb15Y4Sc
Method: DFT, GGA-PBE
State: optimized geometry

Values from the calculation:
The value obtained for the calculated total energy is -101.18 eV/cell. The density of states at the Fermi level is 27.3 states/eV per cell. The value obtained for the magnetic moment is 0.0 μB/f.u. The space group is P4/mmm (123). The energy relative to the elements comes out at 23 meV per atom.

Cell: 5.023 5.023 25.052 Å, 90.00 90.00 90.00°
Fractional coordinates of all 20 atoms:
1 Tb 0.500 0.000 0.500
2 Tb 0.000 0.500 0.702
3 Tb 0.500 0.000 0.298
4 Tb 0.500 0.500 0.601
5 Tb 0.000 0.500 0.298
6 Tb 0.500 0.500 0.803
7 Tb 0.500 0.500 0.399
8 Tb 0.000 0.500 0.500
9 Tb 0.500 0.000 0.904
10 Tb 0.500 0.500 0.197
11 Tb 0.000 0.500 0.096
12 Tb 0.500 0.500 0.000
13 Tb 0.500 0.000 0.096
14 Tb 0.000 0.500 0.904
15 Tb 0.500 0.000 0.702
16 Y 0.000 0.000 0.601
17 Y 0.000 0.000 0.399
18 Y 0.000 0.000 0.802
19 Y 0.000 0.000 0.198
20 Sc 0.000 0.000 0.000